Computed, not measured: a relaxed FeReSn crystal at the PBE level of DFT.

a b c (Å): 4.130 4.130 4.130
angles (deg): 60.00 60.00 60.00
Positions (direct):
Fe1 0.000 0.000 0.000
Re1 0.750 0.750 0.750
Sn1 0.250 0.250 0.250

Computed properties:
As for the total energy: -23.7 eV for the cell shown. As for the space group: No. 216.

Computed, not measured: a relaxed Fe2Re2Sn3 crystal at the PBE level of DFT.

a b c (Å): 7.808 7.808 7.808
angles (deg): 33.10 33.10 33.10
Positions (direct):
Fe1 0.000 0.000 0.000
Fe2 0.497 0.497 0.497
Re1 0.250 0.250 0.250
Re2 0.747 0.747 0.747
Sn1 0.379 0.379 0.379
Sn2 0.623 0.623 0.623
Sn3 0.866 0.866 0.866

Computed properties:
As for the total energy: -48.0 eV for the cell shown. As for the space group: No. 160.

Computed, not measured: a relaxed FeReSn2 crystal at the PBE level of DFT.

a b c (Å): 4.642 4.642 4.642
angles (deg): 60.00 60.00 60.00
Positions (direct):
Fe1 0.000 0.000 0.000
Re1 0.750 0.750 0.750
Sn1 0.250 0.250 0.250
Sn2 0.500 0.500 0.500

Computed properties:
As for the total energy: -25.5 eV for the cell shown. As for the space group: No. 216.

Computed, not measured: a relaxed FeReTcSn crystal at the PBE level of DFT.

a b c (Å): 4.411 4.411 4.411
angles (deg): 60.00 60.00 60.00
Positions (direct):
Fe1 0.000 0.000 0.000
Re1 0.250 0.250 0.250
Tc1 0.500 0.500 0.500
Sn1 0.750 0.750 0.750

Computed properties:
As for the total energy: -33.9 eV for the cell shown. As for the space group: No. 216. Its energy above the most stable polymorph in this dataset is 0 meV per atom.